(1)
Entry from the Alexandria database: crystalline Sm2TmSb at its relaxed geometry (PBE).

Geometry as extended XYZ:
```
4
Lattice="2.020 1.167 9.615 -2.020 1.167 9.615 0.000 -2.333 9.615" Properties=species:S:1:pos:R:3 pbc="T T T"
Sm 0.000 0.000 6.792
Sm 0.000 0.000 22.053
Tm 0.000 0.000 0.000
Sb 0.000 0.000 14.422
```

The calculation puts the relative energy among the computed polymorphs at 21.0 kJ/mol of atoms. For the uncorrected formation energy, the calculation gives -0.29 eV/atom. The space-group type is No. 166.

---

(2)
Entry from the Alexandria database: crystalline Sm5TmSb4 at its relaxed geometry (PBE).

Geometry as extended XYZ:
```
10
Lattice="9.459 -2.177 0.000 9.459 2.177 0.000 -2.227 0.000 8.251" Properties=species:S:1:pos:R:3 pbc="T T T"
Sm 0.000 0.000 0.000
Sm 5.819 0.000 1.245
Sm 4.834 0.000 5.564
Sm 11.856 0.000 2.687
Sm 10.871 0.000 7.006
Tm -1.114 0.000 4.125
Sb 1.847 0.000 4.839
Sb 8.796 0.000 2.067
Sb 7.893 0.000 6.184
Sb 14.843 0.000 3.412
```

For the uncorrected formation energy, the calculation gives -0.76 eV/atom. The space-group type is No. 12.

---

(3)
Entry from the Alexandria database: crystalline Sm5TmSb5 at its relaxed geometry (PBE).

Geometry as extended XYZ:
```
11
Lattice="6.961 -3.122 0.000 6.961 3.122 0.000 -2.814 0.000 8.341" Properties=species:S:1:pos:R:3 pbc="T T T"
Sm 0.000 0.000 0.000
Sm 4.124 0.000 1.392
Sm 2.790 0.000 5.585
Sm 8.317 0.000 2.756
Sm 6.983 0.000 6.949
Tm -1.407 0.000 4.170
Sb -0.047 0.000 6.925
Sb 1.360 0.000 2.803
Sb 5.554 0.000 4.170
Sb 9.747 0.000 5.538
Sb 11.154 0.000 1.416
```

For the uncorrected formation energy, the calculation gives -0.97 eV/atom. The space-group type is No. 12.

---

(4)
Entry from the Alexandria database: crystalline Sm2TmSb at its relaxed geometry (PBE).

Geometry as extended XYZ:
```
4
Lattice="4.203 0.000 0.000 0.000 4.203 0.000 0.000 0.000 6.715" Properties=species:S:1:pos:R:3 pbc="T T T"
Sm 0.000 0.000 1.577
Sm 0.000 0.000 5.138
Tm 2.102 2.102 3.358
Sb 2.102 2.102 0.000
```

The calculation puts the relative energy among the computed polymorphs at 0.0 kJ/mol of atoms. For the uncorrected formation energy, the calculation gives -0.51 eV/atom. The space-group type is No. 123.